Entry 1:
Density functional theory data (PBE) for DySbPd after structural relaxation.

Summary:
Space-group type: No. 216
E_tot (eV per formula unit): -15.2
V (Å³/f.u.): 80.47
Density (kg/m³): 8062

Cell: 4.8460 4.8460 4.8460 Å, 60.00 60.00 60.00°
Positions (direct):
Dy (0.0000, 0.0000, 0.0000)
Sb (0.2500, 0.2500, 0.2500)
Pd (0.7500, 0.7500, 0.7500)

Entry 2:
Density functional theory data (PBE) for DySbPd after structural relaxation.

Summary:
Space-group type: No. 189
E_tot (eV per formula unit): -17.0
V (Å³/f.u.): 66.23
Density (kg/m³): 9796

Cell: 7.3392 7.3392 4.2591 Å, 90.00 90.00 120.00°
Positions (direct):
Dy (0.0000, 0.5866, 0.0000)
Dy (0.4134, 0.4134, 0.0000)
Dy (0.5866, 0.0000, 0.0000)
Sb (0.0000, 0.0000, 0.0000)
Sb (0.3333, 0.6667, 0.5000)
Sb (0.6667, 0.3333, 0.5000)
Pd (0.0000, 0.2599, 0.5000)
Pd (0.2599, 0.0000, 0.5000)
Pd (0.7401, 0.7401, 0.5000)

Entry 3:
Density functional theory data (PBE) for DySb2Pd2 after structural relaxation.

Summary:
Space-group type: No. 129
E_tot (eV per formula unit): -26.8
V (Å³/f.u.): 111.34
Density (kg/m³): 9230

Cell: 4.4787 4.4787 11.1013 Å, 90.00 90.00 90.00°
Positions (direct):
Dy (0.2500, 0.2500, 0.2241)
Dy (0.7500, 0.7500, 0.7759)
Sb (0.2500, 0.2500, 0.8691)
Sb (0.2500, 0.7500, 0.5000)
Sb (0.7500, 0.2500, 0.5000)
Sb (0.7500, 0.7500, 0.1309)
Pd (0.2500, 0.2500, 0.6399)
Pd (0.2500, 0.7500, 0.0000)
Pd (0.7500, 0.2500, 0.0000)
Pd (0.7500, 0.7500, 0.3601)

Entry 4:
Density functional theory data (PBE) for DySbPd after structural relaxation.

Summary:
Space-group type: No. 216
E_tot (eV per formula unit): -17.3
V (Å³/f.u.): 71.42
Density (kg/m³): 9084

Cell: 4.6569 4.6569 4.6569 Å, 60.00 60.00 60.00°
Positions (direct):
Dy (0.0000, 0.0000, 0.0000)
Sb (0.5000, 0.5000, 0.5000)
Pd (0.2500, 0.2500, 0.2500)

Entry 5:
Density functional theory data (PBE) for Dy7Pd2Se2 after structural relaxation.

Summary:
Space-group type: No. 44
E_tot (eV per formula unit): -60.2
V (Å³/f.u.): 279.66
Density (kg/m³): 8956

Cell: 9.2009 9.2009 9.2009 Å, 155.65 67.08 118.58°
Positions (direct):
Dy (0.0000, 0.0000, 0.0000)
Dy (0.2881, 0.4090, 0.8792)
Dy (0.2982, 0.6170, 0.6812)
Dy (0.5298, 0.4090, 0.1208)
Dy (0.6155, 0.2518, 0.3636)
Dy (0.8882, 0.2518, 0.6364)
Dy (0.9358, 0.6170, 0.3188)
Pd (0.1578, 0.9186, 0.2392)
Pd (0.6794, 0.9186, 0.7608)
Se (0.2555, 0.7555, 0.5000)
Se (0.6588, 0.6588, 0.0000)

Entry 6:
Density functional theory data (PBE) for DyPdSe after structural relaxation.

Summary:
Space-group type: No. 187
E_tot (eV per formula unit): -16.6
V (Å³/f.u.): 60.65
Density (kg/m³): 9525

Cell: 4.3599 4.3599 3.6838 Å, 90.00 90.00 120.00°
Positions (direct):
Dy (0.0000, 0.0000, 0.0000)
Pd (0.6667, 0.3333, 0.5000)
Se (0.3333, 0.6667, 0.5000)

Entry 7:
Density functional theory data (PBE) for Dy2SiPd after structural relaxation.

Summary:
Space-group type: No. 31
E_tot (eV per formula unit): -23.1
V (Å³/f.u.): 88.78
Density (kg/m³): 8595

Cell: 4.1612 7.4112 5.7573 Å, 90.00 90.00 90.00°
Positions (direct):
Dy (0.0000, 0.0649, 0.0000)
Dy (0.0000, 0.5818, 0.7630)
Dy (0.5000, 0.4182, 0.2630)
Dy (0.5000, 0.9351, 0.5000)
Si (0.0000, 0.7041, 0.2767)
Si (0.5000, 0.2959, 0.7767)
Pd (0.0000, 0.2121, 0.5060)
Pd (0.5000, 0.7879, 0.0060)

Entry 8:
Density functional theory data (PBE) for Dy3Si4Pd after structural relaxation.

Summary:
Space-group type: No. 6
E_tot (eV per formula unit): -46.1
V (Å³/f.u.): 160.97
Density (kg/m³): 7286

Cell: 5.6998 3.8058 7.4652 Å, 90.00 96.26 90.00°
Positions (direct):
Dy (0.0000, 0.0000, 0.0000)
Dy (0.1981, 0.0000, 0.4774)
Dy (0.7151, 0.5000, 0.6312)
Si (0.2171, 0.5000, 0.7728)
Si (0.4859, 0.0000, 0.8519)
Si (0.6533, 0.0000, 0.3167)
Si (0.9036, 0.5000, 0.2722)
Pd (0.5187, 0.5000, 0.0773)

Entry 9:
Density functional theory data (PBE) for Dy2SiPd after structural relaxation.

Summary:
Space-group type: No. 26
E_tot (eV per formula unit): -23.2
V (Å³/f.u.): 88.54
Density (kg/m³): 8618

Cell: 4.1499 5.7200 7.4596 Å, 90.00 90.00 90.00°
Positions (direct):
Dy (0.0000, 0.1144, 0.0000)
Dy (0.0000, 0.8856, 0.5000)
Dy (0.5000, 0.3854, 0.3544)
Dy (0.5000, 0.6146, 0.8544)
Si (0.0000, 0.3830, 0.6329)
Si (0.0000, 0.6170, 0.1329)
Pd (0.5000, 0.1163, 0.7157)
Pd (0.5000, 0.8837, 0.2157)

Entry 10:
Density functional theory data (PBE) for Dy2SiPd after structural relaxation.

Summary:
Space-group type: No. 11
E_tot (eV per formula unit): -23.0
V (Å³/f.u.): 88.58
Density (kg/m³): 8614

Cell: 5.6963 3.9212 7.9350 Å, 90.00 91.76 90.00°
Positions (direct):
Dy (0.1235, 0.2500, 0.3230)
Dy (0.3745, 0.2500, 0.8170)
Dy (0.6255, 0.7500, 0.1830)
Dy (0.8765, 0.7500, 0.6770)
Si (0.1266, 0.7500, 0.0367)
Si (0.8734, 0.2500, 0.9633)
Pd (0.3467, 0.7500, 0.5444)
Pd (0.6533, 0.2500, 0.4556)

Entry 11:
Density functional theory data (PBE) for Dy6SiPd2 after structural relaxation.

Summary:
Space-group type: No. 189
E_tot (eV per formula unit): -48.2
V (Å³/f.u.): 225.12
Density (kg/m³): 8969

Cell: 7.8027 7.8027 4.2698 Å, 90.00 90.00 120.00°
Positions (direct):
Dy (0.0000, 0.2615, 0.0000)
Dy (0.0000, 0.6021, 0.5000)
Dy (0.2615, 0.0000, 0.0000)
Dy (0.3979, 0.3979, 0.5000)
Dy (0.6021, 0.0000, 0.5000)
Dy (0.7385, 0.7385, 0.0000)
Si (0.0000, 0.0000, 0.5000)
Pd (0.3333, 0.6667, 0.0000)
Pd (0.6667, 0.3333, 0.0000)

Entry 12:
Density functional theory data (PBE) for Dy6Si2Pd after structural relaxation.

Summary:
Space-group type: No. 189
E_tot (eV per formula unit): -48.5
V (Å³/f.u.): 224.27
Density (kg/m³): 8423

Cell: 7.8282 7.8282 4.2259 Å, 90.00 90.00 120.00°
Positions (direct):
Dy (0.0000, 0.2604, 0.0000)
Dy (0.0000, 0.5900, 0.5000)
Dy (0.2604, 0.0000, 0.0000)
Dy (0.4100, 0.4100, 0.5000)
Dy (0.5900, 0.0000, 0.5000)
Dy (0.7396, 0.7396, 0.0000)
Si (0.3333, 0.6667, 0.0000)
Si (0.6667, 0.3333, 0.0000)
Pd (0.0000, 0.0000, 0.5000)

Entry 13:
Density functional theory data (PBE) for SmDySi2Pd after structural relaxation.

Summary:
Distance to the lowest polymorph of the same formula (meV per atom): 8
Space-group type: No. 12
E_tot (eV per formula unit): -29.8
V (Å³/f.u.): 102.73
Density (kg/m³): 7686

Cell: 5.6892 5.6892 10.3181 Å, 116.30 116.30 44.48°
Positions (direct):
Sm (0.0030, 0.0030, 0.3223)
Sm (0.9970, 0.9970, 0.6777)
Dy (0.1863, 0.1863, 0.1065)
Dy (0.8137, 0.8137, 0.8935)
Si (0.3649, 0.3649, 0.4364)
Si (0.4824, 0.4824, 0.1108)
Si (0.5176, 0.5176, 0.8892)
Si (0.6351, 0.6351, 0.5636)
Pd (0.2746, 0.2746, 0.6451)
Pd (0.7254, 0.7254, 0.3549)

Entry 14:
Density functional theory data (PBE) for SmDySi2Pd after structural relaxation.

Summary:
Distance to the lowest polymorph of the same formula (meV per atom): 0
Space-group type: No. 12
E_tot (eV per formula unit): -29.9
V (Å³/f.u.): 102.76
Density (kg/m³): 7683

Cell: 5.7199 5.7199 10.2039 Å, 115.61 115.61 44.10°
Positions (direct):
Sm (0.1878, 0.1878, 0.1064)
Sm (0.8122, 0.8122, 0.8936)
Dy (0.0045, 0.0045, 0.3255)
Dy (0.9955, 0.9955, 0.6745)
Si (0.3684, 0.3684, 0.4361)
Si (0.4866, 0.4866, 0.1170)
Si (0.5134, 0.5134, 0.8830)
Si (0.6316, 0.6316, 0.5639)
Pd (0.2720, 0.2720, 0.6352)
Pd (0.7280, 0.7280, 0.3648)

Entry 15:
Density functional theory data (PBE) for DyTmSi4Pd2 after structural relaxation.

Summary:
Space-group type: No. 38
E_tot (eV per formula unit): -47.5
V (Å³/f.u.): 141.74
Density (kg/m³): 7692

Cell: 4.0456 9.0576 9.0576 Å, 25.28 90.00 90.00°
Positions (direct):
Dy (0.0000, 0.0000, 0.0000)
Tm (0.5000, 0.8048, 0.8048)
Si (0.0000, 0.3673, 0.3673)
Si (0.0000, 0.6511, 0.6511)
Si (0.5000, 0.1543, 0.1543)
Si (0.5000, 0.4368, 0.4368)
Pd (0.0000, 0.2332, 0.2332)
Pd (0.5000, 0.5721, 0.5721)

Entry 16:
Density functional theory data (PBE) for DyTmSi2Pd after structural relaxation.

Summary:
Distance to the lowest polymorph of the same formula (meV per atom): 0
Space-group type: No. 12
E_tot (eV per formula unit): -29.7
V (Å³/f.u.): 98.04
Density (kg/m³): 8367

Cell: 5.6275 5.6275 10.0336 Å, 115.52 115.52 44.19°
Positions (direct):
Dy (0.1863, 0.1863, 0.1065)
Dy (0.8137, 0.8137, 0.8935)
Tm (0.0029, 0.0029, 0.3251)
Tm (0.9971, 0.9971, 0.6749)
Si (0.3681, 0.3681, 0.4348)
Si (0.4813, 0.4813, 0.1153)
Si (0.5187, 0.5187, 0.8847)
Si (0.6319, 0.6319, 0.5652)
Pd (0.2747, 0.2747, 0.6388)
Pd (0.7253, 0.7253, 0.3612)

Entry 17:
Density functional theory data (PBE) for DyTmSi2Pd after structural relaxation.

Summary:
Distance to the lowest polymorph of the same formula (meV per atom): 6
Space-group type: No. 12
E_tot (eV per formula unit): -29.7
V (Å³/f.u.): 97.97
Density (kg/m³): 8373

Cell: 5.6088 5.6088 10.0781 Å, 115.88 115.88 44.50°
Positions (direct):
Dy (0.0013, 0.0013, 0.3222)
Dy (0.9987, 0.9987, 0.6778)
Tm (0.1854, 0.1854, 0.1059)
Tm (0.8146, 0.8146, 0.8941)
Si (0.3661, 0.3661, 0.4345)
Si (0.4799, 0.4799, 0.1119)
Si (0.5201, 0.5201, 0.8881)
Si (0.6339, 0.6339, 0.5655)
Pd (0.2757, 0.2757, 0.6429)
Pd (0.7243, 0.7243, 0.3571)

Entry 18:
Density functional theory data (PBE) for Dy2YSi4Pd4 after structural relaxation.

Summary:
Space-group type: No. 71
E_tot (eV per formula unit): -68.6
V (Å³/f.u.): 196.87
Density (kg/m³): 8029

Cell: 7.9532 7.9532 7.9532 Å, 149.90 128.09 61.18°
Positions (direct):
Dy (0.1250, 0.1250, 0.0000)
Dy (0.8750, 0.8750, 0.0000)
Y (0.5000, 0.0000, 0.5000)
Si (0.1813, 0.5000, 0.6813)
Si (0.2810, 0.7810, 0.5000)
Si (0.7190, 0.2190, 0.5000)
Si (0.8187, 0.5000, 0.3187)
Pd (0.1240, 0.3252, 0.7987)
Pd (0.4735, 0.6748, 0.7987)
Pd (0.5265, 0.3252, 0.2013)
Pd (0.8760, 0.6748, 0.2013)

Entry 19:
Density functional theory data (PBE) for DySnPd2 after structural relaxation.

Summary:
Space-group type: No. 31
E_tot (eV per formula unit): -22.1
V (Å³/f.u.): 80.54
Density (kg/m³): 10186

Cell: 4.2554 6.2762 6.0309 Å, 90.00 90.00 90.00°
Positions (direct):
Dy (0.0000, 0.0774, 0.0000)
Dy (0.5000, 0.9226, 0.5000)
Sn (0.0000, 0.6004, 0.7501)
Sn (0.5000, 0.3996, 0.2501)
Pd (0.0000, 0.2391, 0.4827)
Pd (0.0000, 0.6837, 0.2827)
Pd (0.5000, 0.3163, 0.7827)
Pd (0.5000, 0.7609, 0.9827)

Entry 20:
Density functional theory data (PBE) for DySnPd2 after structural relaxation.

Summary:
Space-group type: No. 26
E_tot (eV per formula unit): -21.9
V (Å³/f.u.): 81.91
Density (kg/m³): 10016

Cell: 4.0021 6.2565 6.5426 Å, 90.00 90.00 90.00°
Positions (direct):
Dy (0.0000, 0.1505, 0.0000)
Dy (0.0000, 0.8495, 0.5000)
Sn (0.5000, 0.3399, 0.6404)
Sn (0.5000, 0.6601, 0.1404)
Pd (0.0000, 0.4220, 0.3485)
Pd (0.0000, 0.5780, 0.8485)
Pd (0.5000, 0.0830, 0.2951)
Pd (0.5000, 0.9170, 0.7951)

Entry 21:
Density functional theory data (PBE) for DySnPd after structural relaxation.

Summary:
Space-group type: No. 62
E_tot (eV per formula unit): -16.5
V (Å³/f.u.): 66.52
Density (kg/m³): 9676

Cell: 7.2000 4.6476 7.9517 Å, 90.00 90.00 90.00°
Positions (direct):
Dy (0.0074, 0.2500, 0.2064)
Dy (0.4926, 0.7500, 0.7064)
Dy (0.5074, 0.2500, 0.2936)
Dy (0.9926, 0.7500, 0.7936)
Sn (0.1961, 0.2500, 0.5890)
Sn (0.3039, 0.7500, 0.0890)
Sn (0.6961, 0.2500, 0.9110)
Sn (0.8039, 0.7500, 0.4110)
Pd (0.2047, 0.7500, 0.4184)
Pd (0.2953, 0.2500, 0.9184)
Pd (0.7047, 0.7500, 0.0816)
Pd (0.7953, 0.2500, 0.5816)

Entry 22:
Density functional theory data (PBE) for TbDySn2Pd4 after structural relaxation.

Summary:
Space-group type: No. 187
E_tot (eV per formula unit): -45.0
V (Å³/f.u.): 163.40
Density (kg/m³): 10005

Cell: 4.5885 4.5885 8.9617 Å, 90.00 90.00 120.00°
Positions (direct):
Tb (0.0000, 0.0000, 0.0000)
Dy (0.3333, 0.6667, 0.5000)
Sn (0.6667, 0.3333, 0.2506)
Sn (0.6667, 0.3333, 0.7494)
Pd (0.0000, 0.0000, 0.3360)
Pd (0.0000, 0.0000, 0.6640)
Pd (0.3333, 0.6667, 0.1653)
Pd (0.3333, 0.6667, 0.8347)

Entry 23:
Density functional theory data (PBE) for Tb2DySn3Pd3 after structural relaxation.

Summary:
Space-group type: No. 38
E_tot (eV per formula unit): -49.9
V (Å³/f.u.): 197.78
Density (kg/m³): 9704

Cell: 4.0103 7.5453 7.5453 Å, 119.97 90.00 90.00°
Positions (direct):
Tb (0.0000, 0.2038, 0.7962)
Tb (0.0000, 0.7962, 0.2038)
Dy (0.0000, 0.6113, 0.6113)
Sn (0.5000, 0.2040, 0.4617)
Sn (0.5000, 0.4617, 0.2040)
Sn (0.5000, 0.9458, 0.9458)
Pd (0.0000, 0.2040, 0.2040)
Pd (0.5000, 0.5372, 0.8702)
Pd (0.5000, 0.8702, 0.5372)

Entry 24:
Density functional theory data (PBE) for DyTmSn2Pd4 after structural relaxation.

Summary:
Space-group type: No. 187
E_tot (eV per formula unit): -44.9
V (Å³/f.u.): 161.24
Density (kg/m³): 10242

Cell: 4.5719 4.5719 8.9074 Å, 90.00 90.00 120.00°
Positions (direct):
Dy (0.0000, 0.0000, 0.0000)
Tm (0.6667, 0.3333, 0.5000)
Sn (0.3333, 0.6667, 0.2519)
Sn (0.3333, 0.6667, 0.7481)
Pd (0.0000, 0.0000, 0.3374)
Pd (0.0000, 0.0000, 0.6626)
Pd (0.6667, 0.3333, 0.1656)
Pd (0.6667, 0.3333, 0.8344)